[1]
# PBE-GGA Pa2TcSb, relaxed
# ρ ... 13.1 g/cm³
# Polymorph energy (0 for the lowest one) ... 95 meV per atom
# VASP energy ... -8.604 eV/atom
# Volume ... 86.4 Å³ per cell
# Crystal system ... tetragonal
# Formation energy (no corrections) ... -0.23 eV/atom
data_Pa2TcSb
_chemical_formula_sum 'Pa2 Tc1 Sb1'
_cell_length_a 4.393
_cell_length_b 4.393
_cell_length_c 4.477
_cell_angle_alpha 90.00
_cell_angle_beta 90.00
_cell_angle_gamma 90.00
_space_group_name_H-M_alt 'P 4/m m m'
_space_group_IT_number 123
_space_group_name_Hall '-P 4 2'
loop_
_atom_site_label
_atom_site_type_symbol
_atom_site_fract_x
_atom_site_fract_y
_atom_site_fract_z
Pa1 Pa 0.000 0.500 0.000
Tc1 Tc 0.000 0.000 0.500
Sb1 Sb 0.500 0.500 0.500

[2]
# PBE-GGA PaTcSb2, relaxed
# ρ ... 10.2 g/cm³
# Polymorph energy (0 for the lowest one) ... 858 meV per atom
# VASP energy ... -6.602 eV/atom
# Volume ... 278.8 Å³ per cell
# Crystal system ... trigonal
# Formation energy (no corrections) ... 0.42 eV/atom
data_PaTcSb2
_chemical_formula_sum 'Pa3 Tc3 Sb6'
_cell_length_a 3.1692
_cell_length_b 3.1692
_cell_length_c 32.0549
_cell_angle_alpha 90.00
_cell_angle_beta 90.00
_cell_angle_gamma 120.00
_space_group_name_H-M_alt 'R -3 m'
_space_group_IT_number 166
_space_group_name_Hall '-R 3 2"'
loop_
_atom_site_label
_atom_site_type_symbol
_atom_site_fract_x
_atom_site_fract_y
_atom_site_fract_z
Pa1 Pa 0.0000 0.0000 0.0000
Tc1 Tc 0.0000 0.0000 0.5000
Sb1 Sb 0.0000 0.0000 0.4173

[3]
# PBE-GGA PaTc2Sb, relaxed
# ρ ... 12.0 g/cm³
# Polymorph energy (0 for the lowest one) ... 72 meV per atom
# VASP energy ... -8.801 eV/atom
# Volume ... 303.3 Å³ per cell
# Crystal system ... cubic
# Formation energy (no corrections) ... -0.21 eV/atom
data_PaTc2Sb
_chemical_formula_sum 'Pa4 Tc8 Sb4'
_cell_length_a 6.719
_cell_length_b 6.719
_cell_length_c 6.719
_cell_angle_alpha 90.00
_cell_angle_beta 90.00
_cell_angle_gamma 90.00
_space_group_name_H-M_alt 'F m -3 m'
_space_group_IT_number 225
_space_group_name_Hall '-F 4 2 3'
loop_
_atom_site_label
_atom_site_type_symbol
_atom_site_fract_x
_atom_site_fract_y
_atom_site_fract_z
Pa1 Pa 0.000 0.000 0.000
Tc1 Tc 0.250 0.250 0.250
Sb1 Sb 0.000 0.000 0.500

[4]
# PBE-GGA PaTcSb2, relaxed
# ρ ... 10.3 g/cm³
# Polymorph energy (0 for the lowest one) ... 0 meV per atom
# VASP energy ... -7.460 eV/atom
# Volume ... 184.5 Å³ per cell
# Crystal system ... tetragonal
# Formation energy (no corrections) ... -0.43 eV/atom
data_PaTcSb2
_chemical_formula_sum 'Pa2 Tc2 Sb4'
_cell_length_a 4.469
_cell_length_b 4.469
_cell_length_c 9.237
_cell_angle_alpha 90.00
_cell_angle_beta 90.00
_cell_angle_gamma 90.00
_space_group_name_H-M_alt 'P 4/n m m'
_space_group_IT_number 129
loop_
_space_group_symop_operation_xyz
'x,y,z'
'-x,-y,-z'
'-y+1/2,x,z'
'y+1/2,-x,-z'
'-x+1/2,-y+1/2,z'
'x+1/2,y+1/2,-z'
'y,-x+1/2,z'
'-y,x+1/2,-z'
'x+1/2,-y,-z'
'-x+1/2,y,z'
'-y,-x,-z'
'y,x,z'
'-x,y+1/2,-z'
'x,-y+1/2,z'
'y+1/2,x+1/2,-z'
'-y+1/2,-x+1/2,z'
loop_
_atom_site_label
_atom_site_type_symbol
_atom_site_fract_x
_atom_site_fract_y
_atom_site_fract_z
Pa1 Pa 0.250 0.250 0.225
Tc1 Tc 0.250 0.750 0.000
Sb1 Sb 0.250 0.250 0.833
Sb2 Sb 0.250 0.750 0.500

[5]
# PBE-GGA Pa2TcSb, relaxed
# ρ ... 12.5 g/cm³
# Polymorph energy (0 for the lowest one) ... 0 meV per atom
# VASP energy ... -8.699 eV/atom
# Volume ... 90.7 Å³ per cell
# Crystal system ... tetragonal
# Formation energy (no corrections) ... -0.33 eV/atom
data_Pa2TcSb
_chemical_formula_sum 'Pa2 Tc1 Sb1'
_cell_length_a 3.260
_cell_length_b 3.260
_cell_length_c 8.530
_cell_angle_alpha 90.00
_cell_angle_beta 90.00
_cell_angle_gamma 90.00
_space_group_name_H-M_alt 'P 4/m m m'
_space_group_IT_number 123
_space_group_name_Hall '-P 4 2'
loop_
_atom_site_label
_atom_site_type_symbol
_atom_site_fract_x
_atom_site_fract_y
_atom_site_fract_z
Pa1 Pa 0.000 0.000 0.216
Tc1 Tc 0.500 0.500 0.000
Sb1 Sb 0.500 0.500 0.500

[6]
# PBE-GGA Pa2TcSb, relaxed
# ρ ... 12.6 g/cm³
# Polymorph energy (0 for the lowest one) ... 92 meV per atom
# VASP energy ... -8.606 eV/atom
# Volume ... 179.8 Å³ per cell
# Crystal system ... orthorhombic
# Formation energy (no corrections) ... -0.24 eV/atom
data_Pa2TcSb
_chemical_formula_sum 'Pa4 Tc2 Sb2'
_cell_length_a 3.615
_cell_length_b 8.214
_cell_length_c 6.056
_cell_angle_alpha 90.00
_cell_angle_beta 90.00
_cell_angle_gamma 90.00
_space_group_name_H-M_alt 'A m m 2'
_space_group_IT_number 38
loop_
_space_group_symop_operation_xyz
'x,y,z'
'-x,-y,z'
'-x,y,z'
'x,-y,z'
'x,y+1/2,z+1/2'
'-x,-y+1/2,z+1/2'
'-x,y+1/2,z+1/2'
'x,-y+1/2,z+1/2'
loop_
_atom_site_label
_atom_site_type_symbol
_atom_site_fract_x
_atom_site_fract_y
_atom_site_fract_z
Pa1 Pa 0.000 0.249 0.000
Tc1 Tc 0.500 0.000 0.249
Sb1 Sb 0.500 0.000 0.749

[7]
# PBE-GGA PaTcSb2, relaxed
# ρ ... 10.9 g/cm³
# Polymorph energy (0 for the lowest one) ... 392 meV per atom
# VASP energy ... -7.068 eV/atom
# Volume ... 87.3 Å³ per cell
# Crystal system ... tetragonal
# Formation energy (no corrections) ... -0.04 eV/atom
data_PaTcSb2
_chemical_formula_sum 'Pa1 Tc1 Sb2'
_cell_length_a 4.445
_cell_length_b 4.445
_cell_length_c 4.416
_cell_angle_alpha 90.00
_cell_angle_beta 90.00
_cell_angle_gamma 90.00
_space_group_name_H-M_alt 'P 4/m m m'
_space_group_IT_number 123
_space_group_name_Hall '-P 4 2'
loop_
_atom_site_label
_atom_site_type_symbol
_atom_site_fract_x
_atom_site_fract_y
_atom_site_fract_z
Pa1 Pa 0.000 0.000 0.000
Tc1 Tc 0.500 0.500 0.000
Sb1 Sb 0.000 0.500 0.500

[8]
# PBE-GGA Pa2TcSb, relaxed
# ρ ... 10.9 g/cm³
# Polymorph energy (0 for the lowest one) ... 117 meV per atom
# VASP energy ... -8.582 eV/atom
# Volume ... 104.2 Å³ per cell
# Crystal system ... trigonal
# Formation energy (no corrections) ... -0.21 eV/atom
data_Pa2TcSb
_chemical_formula_sum 'Pa2 Tc1 Sb1'
_cell_length_a 4.1500
_cell_length_b 4.1500
_cell_length_c 6.9885
_cell_angle_alpha 90.00
_cell_angle_beta 90.00
_cell_angle_gamma 120.00
_space_group_name_H-M_alt 'P -3 m 1'
_space_group_IT_number 164
_space_group_name_Hall '-P 3 2"'
loop_
_atom_site_label
_atom_site_type_symbol
_atom_site_fract_x
_atom_site_fract_y
_atom_site_fract_z
Pa1 Pa 0.3333 0.6667 0.2046
Tc1 Tc 0.0000 0.0000 0.0000
Sb1 Sb 0.0000 0.0000 0.5000

[9]
# PBE-GGA Pa4Tc2Sb, relaxed
# ρ ... 12.7 g/cm³
# VASP energy ... -9.170 eV/atom
# Volume ... 325.1 Å³ per cell
# Crystal system ... triclinic
# Formation energy (no corrections) ... -0.19 eV/atom
data_Pa4Tc2Sb
_chemical_formula_sum 'Pa8 Tc4 Sb2'
_cell_length_a 6.225
_cell_length_b 7.240
_cell_length_c 8.159
_cell_angle_alpha 108.20
_cell_angle_beta 105.50
_cell_angle_gamma 98.87
_space_group_name_H-M_alt 'P 1'
_space_group_IT_number 1
loop_
_space_group_symop_operation_xyz
'x,y,z'
loop_
_atom_site_label
_atom_site_type_symbol
_atom_site_fract_x
_atom_site_fract_y
_atom_site_fract_z
Pa1 Pa 0.000 0.000 0.000
Pa2 Pa 0.016 0.533 0.131
Pa3 Pa 0.245 0.443 0.470
Pa4 Pa 0.321 0.051 0.406
Pa5 Pa 0.452 0.932 0.845
Pa6 Pa 0.652 0.730 0.220
Pa7 Pa 0.837 0.562 0.656
Pa8 Pa 0.957 0.180 0.669
Tc1 Tc 0.053 0.812 0.529
Tc2 Tc 0.250 0.646 0.944
Tc3 Tc 0.323 0.296 0.085
Tc4 Tc 0.557 0.807 0.536
Sb1 Sb 0.513 0.368 0.825
Sb2 Sb 0.727 0.208 0.267

[10]
# PBE-GGA Pa3TcSb2, relaxed
# ρ ... 10.6 g/cm³
# Polymorph energy (0 for the lowest one) ... 24 meV per atom
# VASP energy ... -8.185 eV/atom
# Volume ... 649.1 Å³ per cell
# Crystal system ... monoclinic
# Formation energy (no corrections) ... -0.34 eV/atom
data_Pa3TcSb2
_chemical_formula_sum 'Pa12 Tc4 Sb8'
_cell_length_a 7.235
_cell_length_b 12.477
_cell_length_c 7.590
_cell_angle_alpha 90.00
_cell_angle_beta 108.67
_cell_angle_gamma 90.00
_space_group_name_H-M_alt 'C 1 2/m 1'
_space_group_IT_number 12
loop_
_space_group_symop_operation_xyz
'x,y,z'
'-x,-y,-z'
'-x,y,-z'
'x,-y,z'
'x+1/2,y+1/2,z'
'-x+1/2,-y+1/2,-z'
'-x+1/2,y+1/2,-z'
'x+1/2,-y+1/2,z'
loop_
_atom_site_label
_atom_site_type_symbol
_atom_site_fract_x
_atom_site_fract_y
_atom_site_fract_z
Pa1 Pa 0.206 0.000 0.210
Pa2 Pa 0.245 0.182 0.779
Tc1 Tc 0.000 0.169 0.000
Sb1 Sb 0.000 0.000 0.500
Sb2 Sb 0.000 0.349 0.500
Sb3 Sb 0.000 0.500 0.000

> Among the records above, which one has the lowest volume?

number 1